No. 1
# LaGe12Pt6

Crystalline LaGe12Pt6 at its relaxed geometry (PBE, the Alexandria database).

Geometry as CIF:
```
data_LaGe12Pt6
_cell_length_a 12.2705
_cell_length_b 12.2705
_cell_length_c 8.5664
_cell_angle_alpha 90.00
_cell_angle_beta 90.00
_cell_angle_gamma 120.00
_space_group_name_H-M_alt 'R -3 m'
_space_group_IT_number 166
_space_group_name_Hall '-R 3 2"'
loop_
_atom_site_label
_atom_site_type_symbol
_atom_site_fract_x
_atom_site_fract_y
_atom_site_fract_z
La1 La 0.0000 0.0000 0.0000
Ge1 Ge 0.0000 0.3913 0.5000
Ge2 Ge 0.0907 0.1815 0.3523
Pt1 Pt 0.0194 0.5097 0.7602
```

---

No. 2
# La2GePt2

Crystalline La2GePt2 at its relaxed geometry (PBE, the Alexandria database).

Geometry as CIF:
```
data_La2GePt2
_cell_length_a 7.788
_cell_length_b 7.788
_cell_length_c 3.947
_cell_angle_alpha 90.00
_cell_angle_beta 90.00
_cell_angle_gamma 90.00
_space_group_name_H-M_alt 'P 4/m b m'
_space_group_IT_number 127
_space_group_name_Hall '-P 4 2ab'
loop_
_atom_site_label
_atom_site_type_symbol
_atom_site_fract_x
_atom_site_fract_y
_atom_site_fract_z
La1 La 0.178 0.322 0.000
Ge1 Ge 0.000 0.000 0.500
Pt1 Pt 0.129 0.629 0.500
```

---

No. 3
# La2GePt3

Crystalline La2GePt3 at its relaxed geometry (PBE, the Alexandria database).

Geometry as CIF:
```
data_La2GePt3
_cell_length_a 8.078
_cell_length_b 8.871
_cell_length_c 15.447
_cell_angle_alpha 90.00
_cell_angle_beta 90.00
_cell_angle_gamma 90.00
_space_group_name_H-M_alt 'F m m m'
_space_group_IT_number 69
_space_group_name_Hall '-F 2 2'
loop_
_atom_site_label
_atom_site_type_symbol
_atom_site_fract_x
_atom_site_fract_y
_atom_site_fract_z
La1 La 0.243 0.000 0.000
La2 La 0.250 0.250 0.250
Ge1 Ge 0.000 0.000 0.334
Pt1 Pt 0.000 0.000 0.173
Pt2 Pt 0.000 0.242 0.414
```

---

No. 4
# La2GePt3

Crystalline La2GePt3 at its relaxed geometry (PBE, the Alexandria database).

Geometry as CIF:
```
data_La2GePt3
_cell_length_a 3.930
_cell_length_b 4.394
_cell_length_c 7.948
_cell_angle_alpha 90.00
_cell_angle_beta 90.00
_cell_angle_gamma 90.00
_space_group_name_H-M_alt 'P m m 2'
_space_group_IT_number 25
_space_group_name_Hall 'P 2 -2'
loop_
_atom_site_label
_atom_site_type_symbol
_atom_site_fract_x
_atom_site_fract_y
_atom_site_fract_z
La1 La 0.000 0.000 0.000
La2 La 0.000 0.500 0.475
Ge1 Ge 0.500 0.500 0.810
Pt1 Pt 0.500 0.000 0.329
Pt2 Pt 0.500 0.000 0.670
Pt3 Pt 0.500 0.500 0.124
```

---

No. 5
# La2Ge2Pt5

Crystalline La2Ge2Pt5 at its relaxed geometry (PBE, the Alexandria database).

Geometry as CIF:
```
data_La2Ge2Pt5
_cell_length_a 5.791
_cell_length_b 5.982
_cell_length_c 6.057
_cell_angle_alpha 90.75
_cell_angle_beta 103.60
_cell_angle_gamma 116.76
_space_group_name_H-M_alt 'P -1'
_space_group_IT_number 2
_space_group_name_Hall '-P 1'
loop_
_atom_site_label
_atom_site_type_symbol
_atom_site_fract_x
_atom_site_fract_y
_atom_site_fract_z
La1 La 0.201 0.494 0.290
Ge1 Ge 0.496 0.875 0.817
Pt1 Pt 0.000 0.000 0.000
Pt2 Pt 0.231 0.998 0.481
Pt3 Pt 0.264 0.406 0.793
```

---

No. 6
# La4GePt

Crystalline La4GePt at its relaxed geometry (PBE, the Alexandria database).

Geometry as CIF:
```
data_La4GePt
_cell_length_a 8.294
_cell_length_b 4.676
_cell_length_c 18.236
_cell_angle_alpha 90.00
_cell_angle_beta 90.00
_cell_angle_gamma 90.00
_space_group_name_H-M_alt 'P n m a'
_space_group_IT_number 62
_space_group_name_Hall '-P 2ac 2n'
loop_
_atom_site_label
_atom_site_type_symbol
_atom_site_fract_x
_atom_site_fract_y
_atom_site_fract_z
La1 La 0.017 0.250 0.079
La2 La 0.092 0.250 0.344
La3 La 0.099 0.250 0.780
La4 La 0.150 0.250 0.559
Ge1 Ge 0.246 0.750 0.446
Pt1 Pt 0.248 0.250 0.198
```

---

The evaluated total energy for the records listed, in turn: -305.17, -63.31, -312.41, -39.09, -57.38, -137.95 eV/cell.